No. 1
Li2ThZn2In2 | PBE-GGA | relaxed

a = 8.684 Å, b = 8.684 Å, c = 8.684 Å
α = 31.22°, β = 31.22°, γ = 31.22°
Fractional coordinates of all 7 atoms:
Li 0.135 0.135 0.135
Li 0.865 0.865 0.865
Th 0.000 0.000 0.000
Zn 0.405 0.405 0.405
Zn 0.595 0.595 0.595
In 0.255 0.255 0.255
In 0.745 0.745 0.745

Crystal system: trigonal
Formation energy from the elements, eV/f.u.: -1.60
Magnetic moment, Bohr magnetons per cell: 0.00

---

No. 2
Dy2HoLu | PBE-GGA | relaxed

a = 4.966 Å, b = 4.966 Å, c = 4.954 Å
α = 90.00°, β = 90.00°, γ = 90.00°
Fractional coordinates of all 4 atoms:
Dy 0.000 0.500 0.000
Dy 0.500 0.000 0.000
Ho 0.000 0.000 0.500
Lu 0.500 0.500 0.500

Crystal system: tetragonal
Formation energy from the elements, eV/f.u.: 0.10
Energy above the lowest structure with this stoichiometry, meV per atom: 0.2
Magnetic moment, Bohr magnetons per cell: 0.00